Material: Ta2AgHg
Method: DFT, PBE
State: relaxed

Structure (POSCAR):
```
Ta2AgHg
1.0
5.033 0.000 0.000
0.000 2.941 0.000
-1.651 0.000 5.051
Ta Ag Hg
2 1 1
Direct
0.000 0.000 0.000
0.500 0.500 0.000
0.000 0.500 0.500
0.500 0.000 0.500
```

calculated density = 14.9 Mg/m³
calculated total energy = -6.345 eV/atom
energy of formation = 0.3697 eV per atom
total magnetization = 0.00 μB/f.u.